DFT (PBE) results for an optimized crystal structure of Ag2TeBr2.

For the density of states at the Fermi level, the calculation gives 0.201 states/eV/atom. The value obtained for the uncorrected formation energy is 0.2521 eV/atom. Its relative energy among the computed polymorphs is 176 meV per atom. Its crystal system is tetragonal. The total energy is -2.19 eV/atom.

a b c (Å): 6.5327 6.5327 6.5327
angles (deg): 134.25 134.25 66.69
Last column: nearest neighbours and their distance in Å.
Sites, in units of the cell vectors:
Ag 0.1331 0.1331 0.0000  4 Br 2.84, 1 Ag 2.91
Ag 0.8669 0.8669 0.0000  4 Br 2.84, 1 Ag 2.91
Te 0.5000 0.5000 0.0000  8 Br 3.73, 10 Ag 3.87-4.00
Br 0.2500 0.7500 0.5000  4 Ag 2.84
Br 0.7500 0.2500 0.5000  4 Ag 2.84